Al2CdMoOs: optimized geometry, GGA-PBE.

Lattice parameters (Å, degrees): 4.6562 4.6562 4.9627 90.00 90.00 90.00
With the nearest neighbours (Å) after each atom.
Space group P4/mmm (No. 123)
Symmetry-distinct sites (fractional):
Al (0.0000, 0.5000, 0.0000) [2 per cell]  2 Cd 2.33
Cd (0.0000, 0.0000, 0.0000) [1 per cell]  4 Al 2.33, 2 Os 2.48
Mo (0.5000, 0.5000, 0.5000) [1 per cell]  4 Os 3.29, 8 Al 3.40
Os (0.0000, 0.0000, 0.5000) [1 per cell]  2 Cd 2.48

Calculated values
Energy relative to the elements, eV per atom: 1.9288